## Si3Sb5 (PBE)

Data for a relaxed structure of Si3Sb5.

Output
Formation energy from raw total energies: 0.517 eV per atom
Space-group type: P6_3/mcm (193)
Polymorph energy (0 for the lowest one): 51 meV per atom

Cell lengths 8.131, 8.131, 6.600 Å; angles 90.00, 90.00, 120.00 degrees
Fractional positions:
Sb  0.000  0.228  0.250
Sb  0.667  0.333  0.500
Sb  0.772  0.772  0.250
Sb  0.333  0.667  0.500
Sb  0.000  0.772  0.750
Sb  0.667  0.333  0.000
Sb  0.228  0.000  0.250
Sb  0.228  0.228  0.750
Sb  0.772  0.000  0.750
Sb  0.333  0.667  0.000
Si  0.000  0.584  0.250
Si  0.416  0.416  0.250
Si  0.584  0.000  0.250
Si  0.000  0.416  0.750
Si  0.584  0.584  0.750
Si  0.416  0.000  0.750

## InCuSi (PBE)

Data for a relaxed structure of InCuSi.

Output
Formation energy from raw total energies: 0.151 eV per atom
Space-group type: P1 (1)

Cell lengths 3.945, 7.931, 3.941 Å; angles 118.37, 91.23, 88.94 degrees
Fractional positions:
Cu  0.106  0.125  0.508
Cu  0.657  0.875  0.259
Si  0.724  0.083  0.959
Si  0.256  0.310  0.191
In  0.725  0.481  0.863
In  0.200  0.751  0.629

## Y2SbAs (PBE)

Data for a relaxed structure of Y2SbAs.

Output
Formation energy from raw total energies: -1.006 eV per atom
Space-group type: P2/m (10)

Cell lengths 3.897, 3.675, 7.473 Å; angles 76.53, 90.00, 90.00 degrees
Fractional positions:
Y  0.000  0.471  0.487
Y  0.000  0.029  0.013
As  0.500  0.250  0.250
Sb  0.500  0.750  0.750

## Sb2PbAu (PBE)

Data for a relaxed structure of Sb2PbAu.

Output
Formation energy from raw total energies: 0.120 eV per atom
Space-group type: P4mm (99)

Cell lengths 3.292, 3.292, 9.635 Å; angles 90.00, 90.00, 89.98 degrees
Fractional positions:
Au  0.000  0.000  0.489
Sb  0.000  0.000  0.005
Sb  0.500  0.500  0.290
Pb  0.500  0.500  0.716

## Rb3ScP (PBE)

Data for a relaxed structure of Rb3ScP.

Output
Formation enthalpy at 0 K: 0.5829 eV/atom
Space-group type: Pm-3m (221)
Polymorph energy (0 for the lowest one): 0 meV per atom

Cell lengths 6.622, 6.622, 6.622 Å; angles 90.00, 90.00, 90.00 degrees
Fractional positions:
Sc  0.500  0.500  0.500
Rb  0.000  0.000  0.500
Rb  0.000  0.500  0.000
Rb  0.500  0.000  0.000
P  0.000  0.000  0.000

## Cs3Na2I2Br3 (PBE)

Data for a relaxed structure of Cs3Na2I2Br3.

Output
Formation energy from raw total energies: -1.521 eV per atom
Space-group type: I4/mmm (139)

Cell lengths 5.767, 5.767, 15.265 Å; angles 100.89, 100.89, 90.00 degrees
Fractional positions:
Na  0.213  0.213  0.426
Na  0.787  0.787  0.574
Br  0.119  0.119  0.237
Br  0.500  0.500  0.000
Br  0.881  0.881  0.763
Cs  0.373  0.373  0.746
Cs  0.627  0.627  0.254
Cs  0.000  0.000  0.000
I  0.750  0.250  0.500
I  0.250  0.750  0.500

## LiFe4Co (PBE)

Data for a relaxed structure of LiFe4Co.

Output
Formation enthalpy at 0 K: 0.2150 eV/atom
Space-group type: F-43m (216)

Cell lengths 4.680, 4.680, 4.680 Å; angles 60.00, 60.00, 60.00 degrees
Fractional positions:
Fe  0.625  0.126  0.625
Fe  0.126  0.625  0.625
Fe  0.625  0.625  0.625
Fe  0.625  0.625  0.126
Li  0.250  0.250  0.250
Co  0.000  0.000  0.000

## AcPm6Sm10 (PBE)

Data for a relaxed structure of AcPm6Sm10.

Output
Formation enthalpy at 0 K: 0.1281 eV/atom
Space-group type: P-31m (162)

Cell lengths 7.015, 9.920, 9.920 Å; angles 120.00, 90.00, 90.00 degrees
Fractional positions:
Pm  0.694  0.000  0.624
Pm  0.694  0.624  0.000
Pm  0.306  0.376  0.000
Pm  0.694  0.376  0.376
Pm  0.306  0.000  0.376
Pm  0.306  0.624  0.624
Sm  0.825  0.721  0.721
Sm  0.500  0.333  0.667
Sm  0.000  0.333  0.667
Sm  0.825  0.000  0.279
Sm  0.000  0.667  0.333
Sm  0.175  0.279  0.279
Sm  0.825  0.279  0.000
Sm  0.500  0.667  0.333
Sm  0.175  0.000  0.721
Sm  0.175  0.721  0.000
Ac  0.500  0.000  0.000

## ZrP2Au (PBE)

Data for a relaxed structure of ZrP2Au.

Output
Formation enthalpy at 0 K: -0.5376 eV/atom
Space-group type: P4mm (99)
Polymorph energy (0 for the lowest one): 0 meV per atom

Cell lengths 3.672, 3.672, 5.358 Å; angles 90.00, 90.00, 90.00 degrees
Fractional positions:
Zr  0.000  0.000  0.446
Au  0.500  0.500  0.816
P  0.000  0.000  0.921
P  0.500  0.500  0.318

## MoIr2Ru (PBE)

Data for a relaxed structure of MoIr2Ru.

Output
Formation enthalpy at 0 K: 0.3727 eV/atom
Space-group type: Fm-3m (225)
Polymorph energy (0 for the lowest one): 621 meV per atom

Cell lengths 4.406, 4.406, 4.406 Å; angles 60.00, 60.00, 60.00 degrees
Fractional positions:
Ir  0.250  0.250  0.250
Ir  0.750  0.750  0.750
Ru  0.500  0.500  0.500
Mo  0.000  0.000  0.000

## Zn4Cu4Pt (PBE)

Data for a relaxed structure of Zn4Cu4Pt.

Output
Formation enthalpy at 0 K: -0.1741 eV/atom
Space-group type: I4/mmm (139)

Cell lengths 3.742, 5.973, 5.973 Å; angles 84.37, 71.74, 71.74 degrees
Fractional positions:
Cu  0.660  0.340  0.340
Cu  0.000  0.660  0.340
Cu  0.000  0.340  0.660
Cu  0.340  0.660  0.660
Zn  0.331  0.000  0.338
Zn  0.669  0.000  0.662
Zn  0.669  0.662  0.000
Zn  0.331  0.338  0.000
Pt  0.000  0.000  0.000

## CeTi2Co (PBE)

Data for a relaxed structure of CeTi2Co.

Output
Formation enthalpy at 0 K: -0.0784 eV/atom
Space-group type: P4/mmm (123)
Polymorph energy (0 for the lowest one): 0 meV per atom

Cell lengths 3.035, 3.035, 7.593 Å; angles 90.00, 90.00, 90.00 degrees
Fractional positions:
Co  0.500  0.500  0.000
Ti  0.000  0.000  0.185
Ti  0.000  0.000  0.815
Ce  0.500  0.500  0.500

## NaMg2Au (PBE)

Data for a relaxed structure of NaMg2Au.

Output
Formation enthalpy at 0 K: -0.1182 eV/atom
Space-group type: I-42d (122)

Cell lengths 8.245, 8.245, 6.565 Å; angles 51.10, 51.10, 90.00 degrees
Fractional positions:
Au  0.750  0.250  0.500
Au  0.000  0.000  0.000
Na  0.500  0.500  0.000
Na  0.250  0.750  0.500
Mg  0.691  0.125  0.250
Mg  0.059  0.625  0.250
Mg  0.375  0.309  0.750
Mg  0.875  0.941  0.750